CaCrBi3: relaxed, PBE-GGA.

Values from the calculation:
- Total moment: 2.7 μB per cell
- Mass density: 7.6 g cm⁻³
- DFT total energy: -4.5284 eV per atom
- DOS(E_F): 6.59 states/eV per cell

abc: 5.395 5.395 5.395
angles: 90.00 90.00 90.00
Space group Pm-3m (No. 221)
Asymmetric unit:
Ca (0.000, 0.000, 0.000)
Cr (0.500, 0.500, 0.500)
Bi (0.000, 0.500, 0.500)